1.
# Ce3Ge4Ir2 PBE relaxed
data_Ce3Ge4Ir2
_chemical_formula_sum 'Ce6 Ge8 Ir4'
_symmetry_space_group_name_H-M 'C 1 2/m 1'
_symmetry_Int_Tables_number 12
_symmetry_space_group_name_Hall '-C 2y'
_cell_length_a 11.112
_cell_length_b 4.301
_cell_length_c 8.330
_cell_angle_alpha 90.00
_cell_angle_beta 109.55
_cell_angle_gamma 90.00
loop_
_atom_site_label
_atom_site_fract_x
_atom_site_fract_y
_atom_site_fract_z
Ce1 0.000 0.000 0.000
Ce2 0.121 0.500 0.690
Ge1 0.090 0.000 0.389
Ge2 0.211 0.500 0.072
Ir1 0.196 0.500 0.365
# **ΔE to the lowest computed polymorph**: 20 meV/atom
# **E_form**: -0.7857 eV per atom

2.
# Tb2Pr6Nd3Dy PBE relaxed
data_Tb2Pr6Nd3Dy
_chemical_formula_sum 'Tb4 Pr12 Nd6 Dy2'
_symmetry_space_group_name_H-M 'C 1 2/m 1'
_symmetry_Int_Tables_number 12
_symmetry_space_group_name_Hall '-C 2y'
_cell_length_a 6.366
_cell_length_b 11.032
_cell_length_c 12.090
_cell_angle_alpha 90.00
_cell_angle_beta 100.12
_cell_angle_gamma 90.00
loop_
_atom_site_label
_atom_site_fract_x
_atom_site_fract_y
_atom_site_fract_z
Tb1 0.000 0.167 0.000
Pr1 0.249 0.333 0.246
Pr2 0.250 0.000 0.246
Nd1 0.000 0.000 0.500
Nd2 0.000 0.333 0.500
Dy1 0.000 0.500 0.000
# **E_form**: 0.0130 eV per atom

3.
# CaFe2Re PBE relaxed
data_CaFe2Re
_chemical_formula_sum 'Ca2 Fe4 Re2'
_symmetry_space_group_name_H-M 'C 1 2/m 1'
_symmetry_Int_Tables_number 12
_symmetry_space_group_name_Hall '-C 2y'
_cell_length_a 7.153
_cell_length_b 4.136
_cell_length_c 5.670
_cell_angle_alpha 90.00
_cell_angle_beta 114.98
_cell_angle_gamma 90.00
loop_
_atom_site_label
_atom_site_fract_x
_atom_site_fract_y
_atom_site_fract_z
Ca1 0.000 0.000 0.000
Fe1 0.195 0.000 0.586
Re1 0.000 0.500 0.500
# **E_form**: 0.3769 eV per atom

4.
# PIrSe2 PBE relaxed
data_PIrSe2
_chemical_formula_sum 'P3 Ir3 Se6'
_symmetry_space_group_name_H-M 'R -3 m'
_symmetry_Int_Tables_number 166
_symmetry_space_group_name_Hall '-R 3 2"'
_cell_length_a 3.6990
_cell_length_b 3.6990
_cell_length_c 22.9007
_cell_angle_alpha 90.00
_cell_angle_beta 90.00
_cell_angle_gamma 120.00
loop_
_atom_site_label
_atom_site_fract_x
_atom_site_fract_y
_atom_site_fract_z
P1 0.0000 0.0000 0.0000
Ir1 0.0000 0.0000 0.5000
Se1 0.0000 0.0000 0.1100
# **E**: -0.1857 Ha/atom

Number 1: magnetization 1.7 μB/cell. Number 2: magnetization 0.0 μB/cell. Number 3: magnetization 6.9 μB/cell. Number 4: magnetization 0.0 μB/cell.